Entry 1:
The following is a DFT calculation (PBE) of Er3Mg9Ag2 after structural relaxation.

Results
- calculated volume (A^3/atom) = 23.7
- DFT total energy (eV for the cell shown) = -34.82
- space group = Immm, No. 71

a = 8.5984 Å, b = 8.5984 Å, c = 8.5984 Å
α = 146.81°, β = 100.60°, γ = 88.81°
Element x y z (fractional)
Er (0.0000, 0.0000, 0.0000)
Er (0.2871, 0.2871, 0.0000)
Er (0.7129, 0.7129, 0.0000)
Mg (0.9996, 0.3679, 0.6317)
Mg (0.0004, 0.6321, 0.3683)
Mg (0.1380, 0.8624, 0.2755)
Mg (0.2638, 0.6321, 0.6317)
Mg (0.4131, 0.1376, 0.2755)
Mg (0.5000, 0.0000, 0.5000)
Mg (0.5869, 0.8624, 0.7245)
Mg (0.7362, 0.3679, 0.3683)
Mg (0.8620, 0.1376, 0.7245)
Ag (0.3483, 0.5000, 0.8483)
Ag (0.6517, 0.5000, 0.1517)

Entry 2:
The following is a DFT calculation (PBE) of Er3Mg2Ag2 after structural relaxation.

Results
- calculated volume (A^3/atom) = 25.0
- DFT total energy (eV for the cell shown) = -23.48
- space group = C2/m, No. 12

a = 6.7240 Å, b = 6.7240 Å, c = 8.5034 Å
α = 113.55°, β = 113.55°, γ = 30.06°
Element x y z (fractional)
Er (0.0000, 0.0000, 0.0000)
Er (0.1138, 0.1138, 0.4469)
Er (0.8862, 0.8862, 0.5531)
Mg (0.3573, 0.3573, 0.1814)
Mg (0.6427, 0.6427, 0.8186)
Ag (0.3098, 0.3098, 0.7861)
Ag (0.6902, 0.6902, 0.2139)

DFT formation energy in kJ/mol of formula units, matching the order above: -104.2, -86.8